(1)
Below is crystalline LiH at its relaxed geometry, with properties calculated at the GGA-PBEsol level.

Cell and atoms, written as POSCAR:
```
LiH
1.0
0.000 1.986 1.986
1.986 0.000 1.986
1.986 1.986 0.000
Li H
1 1
Direct
0.000 0.000 0.000
0.500 0.500 0.500
```

Values from the calculation:
Its space-group type is No. 225.

(2)
Below is crystalline Li4MgH3N3 at its relaxed geometry, with properties calculated at the GGA-PBEsol level.

Cell and atoms, written as POSCAR:
```
Li4MgH3N3
1.0
-1.820 5.274 2.343
1.820 -5.274 2.343
1.820 5.274 -2.343
Li Mg H N
4 1 3 3
Direct
0.173 0.000 0.173
0.318 0.498 0.820
0.678 0.498 0.180
0.827 0.000 0.827
0.030 0.530 0.500
0.460 0.460 0.000
0.485 0.089 0.396
0.693 0.089 0.604
0.239 0.239 0.000
0.596 0.262 0.334
0.928 0.262 0.666
```

Values from the calculation:
Its space-group type is No. 44.

(3)
Below is crystalline LiMgH2Pt at its relaxed geometry, with properties calculated at the GGA-PBEsol level.

Cell and atoms, written as POSCAR:
```
LiMgH2Pt
1.0
3.609 0.000 0.000
0.000 3.609 0.000
0.000 0.000 4.649
Li Mg H Pt
1 1 2 1
Direct
0.000 0.000 0.000
0.500 0.500 0.000
0.000 0.500 0.500
0.500 0.000 0.500
0.000 0.000 0.500
```

Values from the calculation:
Its space-group type is No. 123.

The evaluated Fermi-level density of states for the records listed, in turn: 0.00 0.00 2.09 states/eV/f.u..
The evaluated total energy for the records listed, in turn: -6.1 -51.9 -16.7 eV for the cell shown.